Entry 1:
Here is an optimized crystal structure of AcTbPm6Nd2 from Alexandria via LeMat-Bulk. Energies are from PBE.

Cell and atoms, written as extended XYZ:
```
20
Lattice="0.147 -5.040 -8.443 -3.525 -6.978 4.687 -5.697 6.312 -3.283" Properties=species:S:1:pos:R:3 pbc="T T T"
Nd -6.851 -4.541 -7.475
Nd -6.674 -3.553 -2.335
Pm -2.057 -4.765 1.004
Pm -5.708 -2.106 -5.206
Pm -3.170 -0.027 -7.570
Ac -5.536 2.223 -9.430
Pm -4.369 -9.241 -4.725
Ac -3.539 -7.928 2.391
Pm -4.706 3.536 -2.315
Nd -2.401 -2.152 -4.705
Pm -5.785 1.492 -5.428
Pm -5.905 -5.678 0.531
Nd -2.224 -1.164 0.436
Tb -4.305 -5.307 -4.914
Pm -3.753 -3.307 -7.741
Pm -3.290 -7.197 -1.611
Pm -7.018 -0.940 -8.043
Pm -3.367 -3.599 -1.833
Pm -5.322 -2.398 0.701
Tb -4.769 -0.398 -2.125
```

Computed properties:
ΔE_f ... 0.118 eV/atom
Electronic total energy ... -4.560 eV per atom

***

Entry 2:
Here is an optimized crystal structure of CeTm5Ir6 from Alexandria via LeMat-Bulk. Energies are from PBE.

Cell and atoms, written as extended XYZ:
```
12
Lattice="4.491 -0.027 1.497 0.038 7.045 0.013 0.005 -0.013 7.471" Properties=species:S:1:pos:R:3 pbc="T T T"
Ir 2.274 5.260 0.758
Tm 0.019 3.523 0.006
Ir 3.759 1.738 3.727
Tm 1.489 -0.013 3.020
Tm 1.514 3.509 3.008
Ce 0.000 0.000 0.000
Tm 3.008 -0.027 5.948
Ir 3.778 5.254 3.733
Tm 3.021 3.496 5.973
Ir 0.776 5.267 5.254
Ir 0.757 1.751 5.248
Ir 2.255 1.759 0.752
```

Computed properties:
ΔE_f ... -0.874 eV/atom
Electronic total energy ... -7.662 eV per atom

***

Entry 3:
Here is an optimized crystal structure of Hg3SbF6 from Alexandria via LeMat-Bulk. Energies are from PBE.

Cell and atoms, written as extended XYZ:
```
10
Lattice="-3.547 -3.346 -2.029 4.992 -0.081 -1.720 1.777 -5.157 5.398" Properties=species:S:1:pos:R:3 pbc="T T T"
F 2.534 -6.811 1.942
Hg 0.188 -4.836 0.773
Sb 0.000 0.000 0.000
F -2.243 -3.135 -0.630
Hg 0.888 -2.579 2.699
F 3.795 -0.826 -0.411
F 2.974 -4.412 4.089
F 0.473 -5.368 3.999
F 0.688 -1.773 -0.293
Hg 3.035 -3.748 0.876
```

Computed properties:
Electronic total energy ... -3.306 eV per atom
Formation energy from raw total energies ... -1680 meV per atom

***

Entry 4:
Here is an optimized crystal structure of Na3RuW from Alexandria via LeMat-Bulk. Energies are from PBE.

Cell and atoms, written as extended XYZ:
```
5
Lattice="5.191 0.000 0.000 0.000 5.191 0.000 0.000 0.000 5.191" Properties=species:S:1:pos:R:3 pbc="T T T"
Na 2.596 0.000 0.000
Na 0.000 0.000 2.596
Na 0.000 2.596 0.000
Ru 0.000 0.000 0.000
W 2.596 2.596 2.596
```

Computed properties:
ΔE_f ... 2.418 eV/atom
Polymorph energy (0 for the lowest one) ... 15 meV/atom
Electronic total energy ... -2.819 eV per atom

***

Number 1: magnetization 0.000 μB/atom. Number 2: magnetization 0.000 μB/atom. Number 3: magnetization 0.000 μB/atom. Number 4: magnetization 0.421 μB/atom.